No. 1
! AcPrSmDy, relaxed, DFT GGA-PBE; values from VASP
&SYSTEM
  ibrav = 0, nat = 4, ntyp = 4
/
ATOMIC_SPECIES
Ac 227.00 Ac.upf
Pr 140.91 Pr.upf
Sm 150.36 Sm.upf
Dy 162.50 Dy.upf
CELL_PARAMETERS angstrom
0.0000 4.1880 4.1880
4.1880 0.0000 4.1880
4.1880 4.1880 0.0000
ATOMIC_POSITIONS crystal
Ac 0.0000 0.0000 0.0000
Pr 0.2500 0.2500 0.2500
Sm 0.7500 0.7500 0.7500
Dy 0.5000 0.5000 0.5000
! **Space-group type**: No. 216
! **Excess energy over the best structure of this formula in the dataset**: 0.118 eV per atom

---

No. 2
! SrAcPrDy, relaxed, DFT GGA-PBE; values from VASP
&SYSTEM
  ibrav = 0, nat = 4, ntyp = 4
/
ATOMIC_SPECIES
Sr 87.62 Sr.upf
Ac 227.00 Ac.upf
Pr 140.91 Pr.upf
Dy 162.50 Dy.upf
CELL_PARAMETERS angstrom
0.0000 4.3212 4.3212
4.3212 0.0000 4.3212
4.3212 4.3212 0.0000
ATOMIC_POSITIONS crystal
Sr 0.0000 0.0000 0.0000
Ac 0.7500 0.7500 0.7500
Pr 0.2500 0.2500 0.2500
Dy 0.5000 0.5000 0.5000
! **Space-group type**: No. 216

---

No. 3
! AcTbPr3Dy, relaxed, DFT GGA-PBE; values from VASP
&SYSTEM
  ibrav = 0, nat = 12, ntyp = 4
/
ATOMIC_SPECIES
Ac 227.00 Ac.upf
Tb 158.93 Tb.upf
Pr 140.91 Pr.upf
Dy 162.50 Dy.upf
CELL_PARAMETERS angstrom
8.2675 0.0000 0.0000
0.0000 5.2612 0.0000
-3.3622 0.0000 9.9576
ATOMIC_POSITIONS crystal
Ac 0.1720 0.2500 0.2927
Ac 0.8280 0.7500 0.7073
Tb 0.4968 0.7500 0.8767
Tb 0.5032 0.2500 0.1233
Pr 0.1732 0.7500 0.5468
Pr 0.1744 0.2500 0.7936
Pr 0.1741 0.7500 0.0401
Pr 0.8259 0.2500 0.9599
Pr 0.8256 0.7500 0.2064
Pr 0.8268 0.2500 0.4532
Dy 0.4978 0.2500 0.6277
Dy 0.5022 0.7500 0.3723
! **Space-group type**: No. 11

---

No. 4
! AcTbPrDy3, relaxed, DFT GGA-PBE; values from VASP
&SYSTEM
  ibrav = 0, nat = 12, ntyp = 4
/
ATOMIC_SPECIES
Ac 227.00 Ac.upf
Tb 158.93 Tb.upf
Pr 140.91 Pr.upf
Dy 162.50 Dy.upf
CELL_PARAMETERS angstrom
10.2725 -2.8591 0.0000
10.2725 2.8591 0.0000
-0.0462 0.0000 7.2142
ATOMIC_POSITIONS crystal
Ac 0.1439 0.1439 0.4716
Ac 0.8561 0.8561 0.5284
Tb 0.1524 0.1524 0.0268
Tb 0.8476 0.8476 0.9732
Pr 0.4436 0.4436 0.7889
Pr 0.5564 0.5564 0.2111
Dy 0.0206 0.0206 0.7747
Dy 0.2810 0.2810 0.7466
Dy 0.3298 0.3298 0.2268
Dy 0.6702 0.6702 0.7732
Dy 0.7190 0.7190 0.2534
Dy 0.9794 0.9794 0.2253
! **Space-group type**: No. 12

---

No. 5
! Ac2TbPr5Dy, relaxed, DFT GGA-PBE; values from VASP
&SYSTEM
  ibrav = 0, nat = 18, ntyp = 4
/
ATOMIC_SPECIES
Ac 227.00 Ac.upf
Tb 158.93 Tb.upf
Pr 140.91 Pr.upf
Dy 162.50 Dy.upf
CELL_PARAMETERS angstrom
2.9294 -10.4891 0.0000
2.9294 10.4891 0.0000
0.0000 0.0000 10.9931
ATOMIC_POSITIONS crystal
Ac 0.1131 0.8869 0.5000
Ac 0.1170 0.8830 0.0807
Ac 0.8830 0.1170 0.5807
Ac 0.8869 0.1131 0.0000
Tb 0.4058 0.5942 0.2349
Tb 0.5942 0.4058 0.7349
Pr 0.0182 0.9818 0.7853
Pr 0.2805 0.7195 0.0777
Pr 0.2930 0.7070 0.4668
Pr 0.3852 0.6148 0.7863
Pr 0.4847 0.5153 0.5097
Pr 0.5153 0.4847 0.0097
Pr 0.6148 0.3852 0.2863
Pr 0.7070 0.2930 0.9668
Pr 0.7195 0.2805 0.5777
Pr 0.9818 0.0182 0.2853
Dy 0.2044 0.7956 0.7744
Dy 0.7956 0.2044 0.2744
! **Space-group type**: No. 36

---

No. 6
! AcTb2Pr4Dy, relaxed, DFT GGA-PBE; values from VASP
&SYSTEM
  ibrav = 0, nat = 8, ntyp = 4
/
ATOMIC_SPECIES
Ac 227.00 Ac.upf
Tb 158.93 Tb.upf
Pr 140.91 Pr.upf
Dy 162.50 Dy.upf
CELL_PARAMETERS angstrom
5.2014 0.0000 0.0000
0.0000 5.2460 0.0000
0.0000 0.0000 10.4059
ATOMIC_POSITIONS crystal
Ac 0.0000 0.0000 0.0000
Tb 0.0000 0.0000 0.5000
Tb 0.5000 0.5000 0.0000
Pr 0.0000 0.5000 0.2572
Pr 0.0000 0.5000 0.7428
Pr 0.5000 0.0000 0.2581
Pr 0.5000 0.0000 0.7419
Dy 0.5000 0.5000 0.5000
! **Space-group type**: No. 47

---

No. 7
! AcTbPr2Dy, relaxed, DFT GGA-PBE; values from VASP
&SYSTEM
  ibrav = 0, nat = 10, ntyp = 4
/
ATOMIC_SPECIES
Ac 227.00 Ac.upf
Tb 158.93 Tb.upf
Pr 140.91 Pr.upf
Dy 162.50 Dy.upf
CELL_PARAMETERS angstrom
6.4903 0.0000 0.0000
0.0000 5.9590 0.0000
-3.2259 0.0000 9.3798
ATOMIC_POSITIONS crystal
Ac 0.1371 0.2500 0.1050
Ac 0.8629 0.7500 0.8950
Tb 0.4751 0.7500 0.1033
Tb 0.5249 0.2500 0.8967
Pr 0.2667 0.7500 0.7002
Pr 0.3391 0.2500 0.5029
Pr 0.6609 0.7500 0.4971
Pr 0.7333 0.2500 0.2998
Dy 0.0633 0.7500 0.3072
Dy 0.9367 0.2500 0.6928
! **Space-group type**: No. 11

---

No. 8
! AcTb2Pr5Dy, relaxed, DFT GGA-PBE; values from VASP
&SYSTEM
  ibrav = 0, nat = 18, ntyp = 4
/
ATOMIC_SPECIES
Ac 227.00 Ac.upf
Tb 158.93 Tb.upf
Pr 140.91 Pr.upf
Dy 162.50 Dy.upf
CELL_PARAMETERS angstrom
2.8111 -12.3317 0.0000
2.8111 12.3317 0.0000
0.0000 0.0000 9.5651
ATOMIC_POSITIONS crystal
Ac 0.1023 0.8977 0.5000
Ac 0.8977 0.1023 0.0000
Tb 0.3263 0.6737 0.7498
Tb 0.3878 0.6122 0.3559
Tb 0.6122 0.3878 0.8559
Tb 0.6737 0.3263 0.2498
Pr 0.0242 0.9758 0.8272
Pr 0.1066 0.8934 0.1052
Pr 0.1901 0.8099 0.7955
Pr 0.2413 0.7587 0.4339
Pr 0.4905 0.5095 0.6086
Pr 0.5095 0.4905 0.1086
Pr 0.7587 0.2413 0.9339
Pr 0.8099 0.1901 0.2955
Pr 0.8934 0.1066 0.6052
Pr 0.9758 0.0242 0.3272
Dy 0.2635 0.7365 0.1077
Dy 0.7365 0.2635 0.6077
! **Space-group type**: No. 36

---

No. 9
! Ac2TbPr2Dy, relaxed, DFT GGA-PBE; values from VASP
&SYSTEM
  ibrav = 0, nat = 12, ntyp = 4
/
ATOMIC_SPECIES
Ac 227.00 Ac.upf
Tb 158.93 Tb.upf
Pr 140.91 Pr.upf
Dy 162.50 Dy.upf
CELL_PARAMETERS angstrom
5.9323 0.0000 0.0000
0.0000 10.2309 0.0000
0.0000 0.0000 7.3637
ATOMIC_POSITIONS crystal
Ac 0.0000 0.0003 0.0000
Ac 0.0000 0.9997 0.5000
Ac 0.5000 0.1760 0.2502
Ac 0.5000 0.8240 0.7502
Tb 0.5000 0.4998 0.9999
Tb 0.5000 0.5002 0.4999
Pr 0.0000 0.3457 0.2501
Pr 0.0000 0.6543 0.7501
Pr 0.5000 0.1748 0.7498
Pr 0.5000 0.8252 0.2498
Dy 0.0000 0.3374 0.7498
Dy 0.0000 0.6626 0.2498
! **Space-group type**: No. 26

---

No. 10
! AcTbPr5Dy2, relaxed, DFT GGA-PBE; values from VASP
&SYSTEM
  ibrav = 0, nat = 18, ntyp = 4
/
ATOMIC_SPECIES
Ac 227.00 Ac.upf
Tb 158.93 Tb.upf
Pr 140.91 Pr.upf
Dy 162.50 Dy.upf
CELL_PARAMETERS angstrom
2.8080 -12.3150 0.0000
2.8080 12.3150 0.0000
0.0000 0.0000 9.5670
ATOMIC_POSITIONS crystal
Ac 0.1024 0.8976 0.5000
Ac 0.8976 0.1024 0.0000
Tb 0.2637 0.7363 0.1080
Tb 0.7363 0.2637 0.6080
Pr 0.0243 0.9757 0.8279
Pr 0.1064 0.8936 0.1057
Pr 0.1898 0.8102 0.7963
Pr 0.2412 0.7588 0.4336
Pr 0.4907 0.5093 0.6098
Pr 0.5093 0.4907 0.1098
Pr 0.7588 0.2412 0.9336
Pr 0.8102 0.1898 0.2963
Pr 0.8936 0.1064 0.6057
Pr 0.9757 0.0243 0.3279
Dy 0.3262 0.6738 0.7492
Dy 0.3879 0.6121 0.3581
Dy 0.6121 0.3879 0.8581
Dy 0.6738 0.3262 0.2492
! **Space-group type**: No. 36

---

Number 1: E_tot -4.387 eV per atom, energy relative to the elements 165 meV per atom, DOS at the Fermi energy 2.600 states/eV per atom. Number 2: E_tot -3.611 eV per atom, energy relative to the elements 182 meV per atom, DOS at the Fermi energy 1.519 states/eV per atom. Number 3: E_tot -4.578 eV per atom, energy relative to the elements 35 meV per atom, DOS at the Fermi energy 1.662 states/eV per atom. Number 4: E_tot -4.333 eV per atom, energy relative to the elements 221 meV per atom, DOS at the Fermi energy 1.509 states/eV per atom. Number 5: E_tot -4.466 eV per atom, energy relative to the elements 128 meV per atom, DOS at the Fermi energy 1.412 states/eV per atom. Number 6: E_tot -4.611 eV per atom, energy relative to the elements 25 meV per atom, DOS at the Fermi energy 1.492 states/eV per atom. Number 7: E_tot -4.536 eV per atom, energy relative to the elements 44 meV per atom, DOS at the Fermi energy 1.642 states/eV per atom. Number 8: E_tot -4.512 eV per atom, energy relative to the elements 140 meV per atom, DOS at the Fermi energy 1.271 states/eV per atom. Number 9: E_tot -4.419 eV per atom, energy relative to the elements 82 meV per atom, DOS at the Fermi energy 1.626 states/eV per atom. Number 10: E_tot -4.508 eV per atom, energy relative to the elements 141 meV per atom, DOS at the Fermi energy 1.276 states/eV per atom.